An optimized crystal structure of Ag2CCl, computed with GGA-PBEsol.

## Properties
The calculation puts the formation energy (no corrections) at 3.63 eV/f.u.

Lattice parameters (Å, degrees): 5.815 5.815 8.600 90.00 90.00 90.00
Space group I-42d (No. 122)
Asymmetric unit:
1 Ag 0.165 0.750 0.125 (multiplicity 8)
2 C 0.000 0.000 0.000 (multiplicity 4)
3 Cl 0.000 0.000 0.500 (multiplicity 4)